1.
Compound: Hf2NbTl
Source: OQMD
Functional: PBE
Structure: optimized geometry

extended XYZ file:
```
4
Lattice="3.533 0.000 0.000 0.000 3.533 0.000 0.000 0.000 6.808" Properties=species:S:1:pos:R:3 pbc="T T T"
Hf 0.000 0.000 1.546
Hf 0.000 0.000 5.261
Nb 1.767 1.767 0.000
Tl 1.767 1.767 3.404
```

Results
As for the crystal system: tetragonal. As for the energy: -32.4 eV per cell. As for the size of the total moment: 0.0021 μB/atom. The calculation puts the mass density at 12.78 g cm⁻³.

2.
Compound: Pr
Source: OQMD
Functional: PBE
Structure: optimized geometry

extended XYZ file:
```
2
Lattice="-3.151 3.151 1.793 3.151 -3.151 1.793 3.151 3.151 -1.793" Properties=species:S:1:pos:R:3 pbc="T T T"
Pr 3.151 1.575 0.448
Pr 0.000 1.575 1.345
```

Results
The formation energy comes out at 0.357 eV/atom. As for the crystal system: tetragonal. As for the size of the total moment: 0.0034 μB/atom. The calculation puts the mass density at 6.57 g cm⁻³.

3.
Compound: SbPIr
Source: OQMD
Functional: PBE
Structure: optimized geometry

extended XYZ file:
```
12
Lattice="6.279 0.000 0.000 0.000 6.229 0.000 -2.407 0.000 5.822" Properties=species:S:1:pos:R:3 pbc="T T T"
Sb 0.110 0.770 2.112
Sb -1.094 2.344 5.022
Sb 4.965 3.884 0.799
Sb 3.762 5.459 3.710
P 0.581 3.967 3.928
P 1.785 5.377 1.017
P 2.087 0.852 4.805
P 3.291 2.262 1.894
Ir 1.130 3.221 1.738
Ir -0.073 6.122 4.649
Ir 3.945 0.107 1.173
Ir 2.741 3.008 4.084
```

Results
As for the crystal system: monoclinic. As for the energy: -80.2 eV per cell. As for the size of the total moment: 0.0003 μB/atom. The calculation puts the mass density at 10.06 g cm⁻³.

4.
Compound: ZrCoGeIr
Source: OQMD
Functional: PBE
Structure: optimized geometry

extended XYZ file:
```
4
Lattice="0.000 3.172 3.172 3.172 0.000 3.172 3.172 3.172 0.000" Properties=species:S:1:pos:R:3 pbc="T T T"
Zr 0.000 0.000 0.000
Co 3.172 3.172 3.172
Ge 1.586 1.586 1.586
Ir 4.758 4.758 4.758
```

Results
As for the crystal system: cubic. As for the energy: -29.7 eV per cell. As for the size of the total moment: 0.4739 μB/atom. The calculation puts the mass density at 10.80 g cm⁻³.

5.
Compound: Y3Er3Bi2Os
Source: OQMD
Functional: PBE
Structure: optimized geometry

extended XYZ file:
```
9
Lattice="8.296 0.000 0.000 -4.148 7.185 0.000 0.000 0.000 4.231" Properties=species:S:1:pos:R:3 pbc="T T T"
Y -3.167 5.486 0.000
Y 0.981 1.699 0.000
Y 6.334 0.000 0.000
Er -1.598 2.768 2.115
Er 3.196 0.000 2.115
Er 2.550 4.417 2.115
Bi 0.000 4.790 0.000
Bi 4.148 2.395 0.000
Os 0.000 0.000 2.115
```

Results
As for the crystal system: hexagonal. As for the energy: -57.1 eV per cell. As for the size of the total moment: 0.0041 μB/atom. The calculation puts the mass density at 9.07 g cm⁻³.

6.
Compound: ReHgAsO
Source: OQMD
Functional: PBE
Structure: optimized geometry

extended XYZ file:
```
8
Lattice="3.933 0.000 0.000 0.000 3.933 0.000 0.000 0.000 9.079" Properties=species:S:1:pos:R:3 pbc="T T T"
Re 0.983 2.950 0.000
Re 2.950 0.983 0.000
Hg 0.983 0.983 3.435
Hg 2.950 2.950 5.644
As 0.983 0.983 7.407
As 2.950 2.950 1.672
O 0.983 2.950 4.540
O 2.950 0.983 4.540
```

Results
As for the crystal system: tetragonal. As for the energy: -42.0 eV per cell. As for the size of the total moment: 0.0013 μB/atom. The calculation puts the mass density at 11.30 g cm⁻³.

7.
Compound: TaNbGa2Ni2
Source: OQMD
Functional: PBE
Structure: optimized geometry

extended XYZ file:
```
24
Lattice="8.124 0.000 0.000 0.000 4.062 0.000 -4.061 0.000 11.487" Properties=species:S:1:pos:R:3 pbc="T T T"
Ta 0.000 0.000 0.000
Ta -2.031 2.031 8.613
Ta 0.002 0.000 5.742
Ta 0.002 0.000 11.487
Nb 2.033 2.031 2.871
Nb 2.033 2.031 8.612
Nb 4.062 0.000 5.741
Nb 6.093 2.031 2.872
Ga -2.028 2.031 5.744
Ga 0.001 0.000 2.870
Ga -2.030 2.031 11.485
Ga -0.001 0.000 8.614
Ga 2.030 2.031 5.742
Ga 4.063 0.000 2.869
Ga 2.032 2.031 11.486
Ga 4.065 0.000 8.615
Ni 0.001 2.031 1.431
Ni -2.030 0.000 10.050
Ni -0.001 2.031 7.178
Ni 2.030 0.000 4.308
Ni 4.062 2.031 1.431
Ni 2.032 0.000 10.052
Ni 4.065 2.031 7.179
Ni 6.095 0.000 4.308
```

Results
As for the crystal system: monoclinic. As for the energy: -164.8 eV per cell. As for the size of the total moment: 0.0002 μB/atom. The calculation puts the mass density at 9.30 g cm⁻³.

8.
Compound: HoTmZnTe3
Source: OQMD
Functional: PBE
Structure: optimized geometry

extended XYZ file:
```
12
Lattice="2.047 -7.539 0.000 2.047 7.539 0.000 0.000 0.000 10.456" Properties=species:S:1:pos:R:3 pbc="T T T"
Ho 0.000 0.000 0.000
Ho 0.000 0.000 5.228
Tm 2.047 4.156 7.842
Tm 2.047 -4.156 2.614
Zn 2.047 0.307 2.614
Zn 2.047 -0.307 7.842
Te 2.047 5.746 2.614
Te 2.047 2.286 0.553
Te 2.047 2.286 4.675
Te 2.047 -2.286 5.782
Te 2.047 -2.286 9.903
Te 2.047 -5.746 7.842
```

Results
As for the crystal system: orthorhombic. As for the energy: -50.4 eV per cell. As for the size of the total moment: 0.0006 μB/atom. The calculation puts the mass density at 8.05 g cm⁻³.

9.
Compound: DyTeAs
Source: OQMD
Functional: PBE
Structure: optimized geometry

extended XYZ file:
```
6
Lattice="4.942 0.000 0.000 -2.471 4.280 0.000 0.000 0.000 7.264" Properties=species:S:1:pos:R:3 pbc="T T T"
Dy 0.000 0.000 0.000
Dy 0.000 0.000 3.632
Te 0.000 2.853 1.816
Te 2.471 1.427 5.448
As 0.000 2.853 5.448
As 2.471 1.427 1.816
```

Results
As for the crystal system: hexagonal. As for the energy: -27.5 eV per cell. As for the size of the total moment: 0.0037 μB/atom. The calculation puts the mass density at 7.89 g cm⁻³.

10.
Compound: La2IrAu
Source: OQMD
Functional: PBE
Structure: optimized geometry

extended XYZ file:
```
8
Lattice="6.163 0.000 0.000 0.000 4.456 0.000 -2.975 0.000 7.581" Properties=species:S:1:pos:R:3 pbc="T T T"
La 0.018 1.114 3.379
La -1.271 1.114 6.971
La 4.458 3.342 0.610
La 3.169 3.342 4.202
Ir -0.204 3.342 5.375
Ir 3.392 1.114 2.206
Au 1.343 3.342 1.577
Au 1.845 1.114 6.005
```

Results
The formation energy comes out at -0.813 eV/atom. As for the crystal system: monoclinic. As for the size of the total moment: 0.0011 μB/atom. The calculation puts the mass density at 10.64 g cm⁻³.

11.
Compound: ScTlNiTe3
Source: OQMD
Functional: PBE
Structure: optimized geometry

extended XYZ file:
```
24
Lattice="12.545 0.000 0.000 0.000 4.094 0.000 0.000 0.000 12.502" Properties=species:S:1:pos:R:3 pbc="T T T"
Sc 0.431 1.024 2.377
Sc 5.841 3.071 8.628
Sc 6.704 1.024 3.874
Sc 12.114 3.071 10.125
Tl 2.442 1.024 6.158
Tl 3.831 3.071 12.409
Tl 8.715 1.024 0.093
Tl 10.104 3.071 6.343
Ni 2.855 3.071 4.043
Ni 3.418 1.024 10.293
Ni 9.127 3.071 2.208
Ni 9.691 1.024 8.459
Te 0.331 3.071 4.433
Te 1.179 1.024 11.643
Te 2.874 3.071 8.891
Te 3.398 1.024 2.640
Te 5.094 3.071 5.392
Te 5.942 1.024 10.684
Te 6.603 3.071 1.818
Te 7.452 1.024 7.109
Te 9.147 3.071 9.861
Te 9.671 1.024 3.611
Te 11.366 3.071 0.858
Te 12.215 1.024 8.069
```

Results
As for the crystal system: orthorhombic. As for the energy: -107.6 eV per cell. As for the size of the total moment: 0.0004 μB/atom. The calculation puts the mass density at 7.15 g cm⁻³.

12.
Compound: K2Os2Se5
Source: OQMD
Functional: PBE
Structure: optimized geometry

extended XYZ file:
```
18
Lattice="5.645 -3.997 0.000 5.645 3.997 0.000 -3.615 0.000 11.022" Properties=species:S:1:pos:R:3 pbc="T T T"
K 1.526 1.445 3.514
K -0.282 -1.445 9.025
K 7.956 1.445 1.997
K 6.149 -1.445 7.509
Os 4.384 1.264 0.655
Os 5.098 1.264 4.856
Os 2.577 -1.264 6.166
Os 3.290 -1.264 10.368
Se 2.125 0.555 0.314
Se 4.741 2.367 2.756
Se 0.317 -0.555 5.825
Se 2.397 1.035 9.900
Se 3.470 1.035 6.633
Se 4.204 -1.035 4.389
Se 5.278 -1.035 1.122
Se 7.357 0.555 5.197
Se 2.933 -2.367 8.267
Se 5.550 -0.555 10.709
```

Results
As for the crystal system: monoclinic. As for the energy: -91.3 eV per cell. As for the size of the total moment: 0.0001 μB/atom. The calculation puts the mass density at 5.70 g cm⁻³.

13.
Compound: HgBiSO
Source: OQMD
Functional: PBE
Structure: optimized geometry

extended XYZ file:
```
16
Lattice="5.702 0.000 0.000 0.000 11.171 0.000 0.000 0.000 5.711" Properties=species:S:1:pos:R:3 pbc="T T T"
Hg 0.809 0.470 0.000
Hg 2.042 0.470 2.855
Hg 3.660 10.701 0.000
Hg 4.893 10.701 2.855
Bi 0.026 3.813 3.761
Bi 2.825 3.813 0.906
Bi 2.877 7.358 3.761
Bi 5.676 7.358 0.906
S 0.002 4.096 0.886
S 5.700 7.074 3.741
S 2.849 4.096 3.741
S 2.853 7.074 0.886
O 0.150 1.719 3.810
O 2.701 1.719 0.955
O 3.001 9.451 3.810
O 5.552 9.451 0.955
```

Results
As for the crystal system: orthorhombic. As for the energy: -58.7 eV per cell. The calculation puts the mass density at 8.36 g cm⁻³.

14.
Compound: TbDy2ErPt4
Source: OQMD
Functional: PBE
Structure: optimized geometry

extended XYZ file:
```
8
Lattice="4.903 0.000 0.000 0.000 4.903 0.000 0.000 0.000 6.936" Properties=species:S:1:pos:R:3 pbc="T T T"
Tb 0.000 0.000 0.000
Dy 0.000 0.000 3.468
Dy 2.451 2.451 0.000
Er 2.451 2.451 3.468
Pt 0.000 2.451 1.741
Pt 0.000 2.451 5.196
Pt 2.451 0.000 1.741
Pt 2.451 0.000 5.196
```

Results
The formation energy comes out at -1.218 eV/atom. As for the crystal system: tetragonal. As for the size of the total moment: 0.0006 μB/atom. The calculation puts the mass density at 14.26 g cm⁻³.

15.
Compound: Rb2DyScO4
Source: OQMD
Functional: PBE
Structure: optimized geometry

extended XYZ file:
```
8
Lattice="3.363 0.000 0.000 -1.681 2.912 0.000 0.000 0.000 12.815" Properties=species:S:1:pos:R:3 pbc="T T T"
Rb 0.000 1.942 3.146
Rb 1.681 0.971 9.670
Dy 0.000 0.000 6.408
Sc 0.000 0.000 0.000
O 0.000 1.942 7.589
O 0.000 1.942 11.765
O 1.681 0.971 1.050
O 1.681 0.971 5.226
```

Results
As for the crystal system: trigonal. As for the energy: -53.8 eV per cell. As for the size of the total moment: 0.0015 μB/atom. The calculation puts the mass density at 5.85 g cm⁻³.

16.
Compound: SrLiNiSb
Source: OQMD
Functional: PBE
Structure: optimized geometry

extended XYZ file:
```
4
Lattice="0.000 3.587 3.587 3.587 0.000 3.587 3.587 3.587 0.000" Properties=species:S:1:pos:R:3 pbc="T T T"
Sr 0.000 0.000 0.000
Li 3.587 3.587 3.587
Ni 5.380 5.380 5.380
Sb 1.793 1.793 1.793
```

Results
As for the crystal system: cubic. As for the energy: -13.7 eV per cell. As for the size of the total moment: 0.1323 μB/atom. The calculation puts the mass density at 4.95 g cm⁻³.

17.
Compound: SrAgGeAu
Source: OQMD
Functional: PBE
Structure: optimized geometry

extended XYZ file:
```
4
Lattice="0.000 3.537 3.537 3.537 0.000 3.537 3.537 3.537 0.000" Properties=species:S:1:pos:R:3 pbc="T T T"
Sr 0.000 0.000 0.000
Ag 5.306 5.306 5.306
Ge 1.769 1.769 1.769
Au 3.537 3.537 3.537
```

Results
As for the crystal system: cubic. As for the energy: -13.3 eV per cell. The calculation puts the mass density at 8.73 g cm⁻³.

18.
Compound: Tm2As3Br
Source: OQMD
Functional: PBE
Structure: optimized geometry

extended XYZ file:
```
12
Lattice="5.266 -4.077 0.000 5.266 4.077 0.000 -2.994 0.000 7.377" Properties=species:S:1:pos:R:3 pbc="T T T"
Tm 0.470 2.056 5.530
Tm 5.571 2.056 5.535
Tm 1.967 -2.056 1.842
Tm 7.067 -2.056 1.846
As 4.517 2.759 1.844
As -0.791 0.069 7.160
As 0.705 -0.069 3.471
As 6.832 0.069 3.906
As 8.329 -0.069 0.217
As 3.020 -2.759 5.533
Br 3.020 0.947 5.533
Br 4.517 -0.947 1.844
```

Results
As for the crystal system: monoclinic. As for the energy: -60.3 eV per cell. As for the size of the total moment: 0.0004 μB/atom. The calculation puts the mass density at 6.74 g cm⁻³.

19.
Compound: TlAs2Ir
Source: OQMD
Functional: PBE
Structure: optimized geometry

extended XYZ file:
```
4
Lattice="0.000 3.369 3.369 3.369 0.000 3.369 3.369 3.369 0.000" Properties=species:S:1:pos:R:3 pbc="T T T"
Tl 0.000 0.000 0.000
As 3.369 3.369 3.369
As 5.054 5.054 5.054
Ir 1.685 1.685 1.685
```

Results
As for the crystal system: cubic. As for the energy: -18.1 eV per cell. As for the size of the total moment: 0.0008 μB/atom. The calculation puts the mass density at 11.86 g cm⁻³.

20.
Compound: TbBiS2O
Source: OQMD
Functional: PBE
Structure: optimized geometry

extended XYZ file:
```
10
Lattice="3.925 0.000 0.000 0.000 3.925 0.000 0.000 0.000 14.124" Properties=species:S:1:pos:R:3 pbc="T T T"
Tb 0.981 0.981 1.134
Tb 2.943 2.943 12.990
Bi 0.981 0.981 8.993
Bi 2.943 2.943 5.131
S 0.981 0.981 5.605
S 0.981 0.981 11.522
S 2.943 2.943 2.602
S 2.943 2.943 8.519
O 0.981 2.943 0.000
O 2.943 0.981 0.000
```

Results
As for the crystal system: tetragonal. As for the energy: -61.0 eV per cell. As for the size of the total moment: 0.0014 μB/atom. The calculation puts the mass density at 6.84 g cm⁻³.